Entry from the Alexandria database: a relaxed Hf3FePd crystal (PBE).

Cell: 3.326 7.483 7.640 Å, 91.26 90.02 102.84°
Atoms (fractional coordinates):
Hf 0.268 0.568 0.019
Hf 0.776 0.586 0.402
Hf 0.618 0.268 0.774
Hf 0.426 0.886 0.647
Hf 0.078 0.189 0.430
Hf 0.966 0.965 0.992
Pd 0.618 0.271 0.153
Pd 0.425 0.883 0.269
Fe 0.812 0.658 0.786
Fe 0.232 0.497 0.635

V = 185.4 Å³ per cell
polymorph energy (0 for the lowest one) = 0.0 kJ per mole of atoms
ΔE_f = -326 meV/atom